No. 1
# PaCrS2N PBE optimized geometry
# DFT total energy: -84.27 eV for the cell shown
# Spin magnetization: 3.777 μB per formula unit
# Crystal system: tetragonal
# Uncorrected formation energy: -6.44 eV per formula unit
data_PaCrS2N
_space_group_name_H-M_alt 'P 4/n m m'
_space_group_IT_number 129
_cell_length_a 3.728
_cell_length_b 3.728
_cell_length_c 12.385
_cell_angle_alpha 90.00
_cell_angle_beta 90.00
_cell_angle_gamma 90.00
loop_
_space_group_symop_operation_xyz
'x,y,z'
'-x,-y,-z'
'-y+1/2,x,z'
'y+1/2,-x,-z'
'-x+1/2,-y+1/2,z'
'x+1/2,y+1/2,-z'
'y,-x+1/2,z'
'-y,x+1/2,-z'
'x+1/2,-y,-z'
'-x+1/2,y,z'
'-y,-x,-z'
'y,x,z'
'-x,y+1/2,-z'
'x,-y+1/2,z'
'y+1/2,x+1/2,-z'
'-y+1/2,-x+1/2,z'
loop_
_atom_site_label
_atom_site_fract_x
_atom_site_fract_y
_atom_site_fract_z
Pa1 0.250 0.250 0.104
Cr1 0.250 0.250 0.599
S1 0.250 0.250 0.404
S2 0.250 0.250 0.793
N1 0.250 0.750 0.000

***

No. 2
# Al2CdMo PBE optimized geometry
# ΔH_f (0 K): 0.058 eV per atom
# DFT total energy: -19.00 eV for the cell shown
# Spin magnetization: 0.000 μB per formula unit
# Crystal system: orthorhombic
data_Al2CdMo
_space_group_name_H-M_alt 'P m m 2'
_space_group_IT_number 25
_cell_length_a 2.814
_cell_length_b 4.875
_cell_length_c 4.923
_cell_angle_alpha 90.00
_cell_angle_beta 90.00
_cell_angle_gamma 90.00
loop_
_space_group_symop_operation_xyz
'x,y,z'
'-x,-y,z'
'-x,y,z'
'x,-y,z'
loop_
_atom_site_label
_atom_site_fract_x
_atom_site_fract_y
_atom_site_fract_z
Al1 0.000 0.000 0.000
Al2 0.500 0.500 0.200
Cd1 0.000 0.500 0.693
Mo1 0.500 0.000 0.478

***

No. 3
# TbDy3Ru2 PBE optimized geometry
# ΔH_f (0 K): -0.234 eV per atom
# DFT total energy: -153.58 eV for the cell shown
# Spin magnetization: 0.000 μB per formula unit
# Crystal system: orthorhombic
data_TbDy3Ru2
_space_group_name_H-M_alt 'I b a m'
_space_group_IT_number 72
_space_group_name_Hall '-I 2 2c'
_cell_length_a 6.723
_cell_length_b 13.497
_cell_length_c 7.023
_cell_angle_alpha 90.00
_cell_angle_beta 90.00
_cell_angle_gamma 90.00
loop_
_atom_site_label
_atom_site_fract_x
_atom_site_fract_y
_atom_site_fract_z
Tb1 0.000 0.000 0.000
Dy1 0.000 0.236 0.250
Dy2 0.000 0.500 0.250
Ru1 0.223 0.366 0.000

***

No. 4
# SrCeTlHg PBE optimized geometry
# ΔH_f (0 K): -0.361 eV per atom
# DFT total energy: -11.73 eV for the cell shown
# Spin magnetization: 1.277 μB per formula unit
# Crystal system: tetragonal
data_SrCeTlHg
_space_group_name_H-M_alt 'P 4 m m'
_space_group_IT_number 99
_cell_length_a 3.898
_cell_length_b 3.898
_cell_length_c 8.179
_cell_angle_alpha 90.00
_cell_angle_beta 90.00
_cell_angle_gamma 90.00
loop_
_space_group_symop_operation_xyz
'x,y,z'
'-y,x,z'
'-x,-y,z'
'y,-x,z'
'-x,y,z'
'y,x,z'
'x,-y,z'
'-y,-x,z'
loop_
_atom_site_label
_atom_site_fract_x
_atom_site_fract_y
_atom_site_fract_z
Sr1 0.000 0.000 0.000
Ce1 0.000 0.000 0.515
Tl1 0.500 0.500 0.273
Hg1 0.500 0.500 0.741

***

Which value of DFT total energy does entry 1 give? -84.27 eV for the cell shown